Entry from OQMD: a relaxed structure of TlAgGeTe3 (PBE-GGA).

polymorph energy (0 for the lowest one) = 19.1 meV per atom
total energy = -3.28 eV/atom
mass density = 6903 kg/m³

a = 8.989 Å, b = 3.756 Å, c = 11.635 Å
α = 90.00°, β = 109.92°, γ = 90.00°
Fractional positions:
Ge: 0.679 0.250 0.609
Ge: 0.321 0.750 0.391
Te: 0.550 0.250 0.359
Te: 0.276 0.750 0.062
Te: 0.919 0.750 0.646
Te: 0.450 0.750 0.641
Te: 0.081 0.250 0.354
Te: 0.724 0.250 0.938
Ag: 0.944 0.750 0.895
Ag: 0.056 0.250 0.105
Tl: 0.255 0.250 0.816
Tl: 0.745 0.750 0.184